1.
Below is a relaxed structure of AlInRh2, with properties calculated at the GGA-PBEsol level.

Unit cell a=4.2881 b=4.2881 c=3.2121 alpha=90.00 beta=90.00 gamma=90.00
With the nearest neighbours (Å) after each atom.
Sites, in units of the cell vectors:
Al1 0.0000 0.0000 0.0000  8 Rh 2.68
In1 0.5000 0.5000 0.0000  8 Rh 2.68
Rh1 0.0000 0.5000 0.5000  4 In 2.68, 4 Al 2.68
Rh2 0.5000 0.0000 0.5000  4 In 2.68, 4 Al 2.68

2.
Below is a relaxed structure of Zr3W, with properties calculated at the GGA-PBEsol level.

Unit cell a=3.4287 b=4.7583 c=4.8577 alpha=90.00 beta=90.00 gamma=90.00
With the nearest neighbours (Å) after each atom.
Sites, in units of the cell vectors:
Zr1 0.0000 0.0000 0.0000  4 W 2.90-3.04, 4 Zr 2.95
Zr2 0.0000 0.5000 0.4630  4 Zr 2.89-3.05, 4 W 2.94
Zr3 0.5000 0.5000 0.9425  8 Zr 2.89-3.05, 2 W 3.15
W1 0.5000 0.0000 0.5180  10 Zr 2.90-3.15

Number 1: calculated formation energy -0.671 eV/atom. Number 2: calculated formation energy 0.184 eV/atom.